Record 1
Material: CsCeBe2Cl8
Method: DFT, PBE
State: relaxed

The formation energy from raw total energies comes out at -172.2 kJ per mole of atoms. The value obtained for the density of states at the Fermi level is 25.7 states/eV/cell. For the final energy, the calculation gives -50.4 eV per formula unit.

The structure belongs to space group R-3 (No. 148, hexagonal axes); the cell edges are 6.3448, 6.3448 and 30.8124 Å and the angles 90.00°, 90.00° and 120.00°. The distinct sites, in fractional coordinates, are Cs at (0.0000, 0.0000, 0.0000), Ce at (0.0000, 0.0000, 0.5000), Be at (0.0000, 0.0000, 0.2448), Cl at (0.0000, 0.0000, 0.3080) and Cl at (0.0054, 0.3080, 0.7791).


Record 2
Material: RbCeBe2Cl8
Method: DFT, PBE
State: relaxed

The formation energy from raw total energies comes out at -170.3 kJ per mole of atoms. The value obtained for the density of states at the Fermi level is 24.5 states/eV/cell. For the final energy, the calculation gives -50.3 eV per formula unit.

The structure belongs to space group R-3 (No. 148, hexagonal axes); the cell edges are 6.3028, 6.3028 and 29.8053 Å and the angles 90.00°, 90.00° and 120.00°. The distinct sites, in fractional coordinates, are Rb at (0.0000, 0.0000, 0.0000), Ce at (0.0000, 0.0000, 0.5000), Be at (0.0000, 0.0000, 0.2478), Cl at (0.0000, 0.0000, 0.3130) and Cl at (0.0083, 0.3111, 0.7771).


Record 3
Material: CeBeCo
Method: DFT, PBE
State: relaxed

The value obtained for the density of states at the Fermi level is 10.7 states/eV/cell. The value obtained for the formation energy from the elements is -0.200 eV/atom. The value obtained for the excess energy over the best structure of this formula in the dataset is 0.0000 eV per atom. For the final energy, the calculation gives -17.4 eV per formula unit.

The structure belongs to space group P2_1/c (No. 14); the cell edges are 5.5280, 5.7960 and 7.7472 Å and the angles 90.00°, 126.98° and 90.00°. The distinct sites, in fractional coordinates, are Ce at (0.1981, 0.1355, 0.4082), Be at (0.3297, 0.6392, 0.6128) and Co at (0.3249, 0.6198, 0.3242).


Record 4
Material: CeBe3Co
Method: DFT, PBE
State: relaxed

The value obtained for the density of states at the Fermi level is 5.3 states/eV/cell. The value obtained for the formation energy from the elements is -0.029 eV/atom. For the final energy, the calculation gives -24.4 eV per formula unit.

The structure belongs to space group Pm-3m (No. 221); the cell edges are 4.1137, 4.1137 and 4.1137 Å and the angles 90.00°, 90.00° and 90.00°. The distinct sites, in fractional coordinates, are Ce at (0.0000, 0.0000, 0.0000), Be at (0.0000, 0.5000, 0.5000) and Co at (0.5000, 0.5000, 0.5000).